A plane-wave DFT calculation with PBEsol was carried out for an optimized crystal structure of ZrBeZn.

The structure in POSCAR format:
```
ZrBeZn
1.0
4.009 0.000 0.000
-2.004 3.472 0.000
0.000 0.000 3.225
Zr Be Zn
1 1 1
direct
0.000 0.000 0.000
0.333 0.667 0.500
0.667 0.333 0.500
```

Calculated values
magnetization	0.0	μB/f.u.
ΔH_f (0 K)	-0.2235	eV/atom
electronic total energy	-15.342	eV per formula unit



A plane-wave DFT calculation with PBEsol was carried out for an optimized crystal structure of FeSi2Os.

The structure in POSCAR format:
```
FeSi2Os
1.0
2.858 0.000 0.000
0.000 2.858 0.000
0.000 0.000 5.653
Fe Si Os
1 2 1
direct
0.000 0.000 0.000
0.500 0.500 0.235
0.500 0.500 0.765
0.000 0.000 0.500
```

Calculated values
magnetization	0.0	μB/f.u.
formation energy without anion corrections	-0.47	eV/atom
electronic total energy	-34.563	eV per formula unit



A plane-wave DFT calculation with PBEsol was carried out for an optimized crystal structure of BaSi2N.

The structure in POSCAR format:
```
BaSi2N
1.0
-2.337 2.337 7.236
2.337 -2.337 7.236
2.337 2.337 -7.236
Ba Si N
2 4 2
direct
0.375 0.625 0.750
0.625 0.375 0.250
0.000 0.000 0.000
0.000 0.000 0.500
0.000 0.500 0.000
0.500 0.000 0.500
0.125 0.875 0.250
0.875 0.125 0.750
```

Calculated values
magnetization	0.0	μB/f.u.
formation energy without anion corrections	0.12	eV/atom
electronic total energy	-21.685	eV per formula unit



A plane-wave DFT calculation with PBEsol was carried out for an optimized crystal structure of InNiAs2.

The structure in POSCAR format:
```
InNiAs2
1.0
2.901 0.000 0.000
0.000 2.901 0.000
0.000 0.000 8.631
In Ni As
1 1 2
direct
0.000 0.000 0.000
0.000 0.000 0.500
0.500 0.500 0.324
0.500 0.500 0.676
```

Calculated values
magnetization	0.0	μB/f.u.
ΔH_f (0 K)	-0.0089	eV/atom
electronic total energy	-19.388	eV per formula unit



A plane-wave DFT calculation with PBEsol was carried out for an optimized crystal structure of SmInRh2.

The structure in POSCAR format:
```
SmInRh2
1.0
0.000 3.305 3.305
3.305 0.000 3.305
3.305 3.305 0.000
Sm In Rh
1 1 2
direct
0.000 0.000 0.000
0.500 0.500 0.500
0.250 0.250 0.250
0.750 0.750 0.750
```

Calculated values
magnetization	0.0	μB/f.u.
ΔH_f (0 K)	-0.6419	eV/atom
electronic total energy	-26.920	eV per formula unit



A plane-wave DFT calculation with PBEsol was carried out for an optimized crystal structure of CaAl2.

The structure in POSCAR format:
```
CaAl2
1.0
0.000 3.972 3.972
3.972 0.000 3.972
3.972 3.972 0.000
Ca Al
2 4
direct
0.125 0.125 0.125
0.875 0.875 0.875
0.000 0.500 0.500
0.500 0.000 0.500
0.500 0.500 0.000
0.500 0.500 0.500
```

Calculated values
magnetization	0.0	μB/f.u.
ΔH_f (0 K)	-0.3368	eV/atom
electronic total energy	-11.327	eV per formula unit